{
  "formula": "MnZnP2",
  "functional": "PBE",
  "state": "relaxed",
  "cell": [[-2.952, -4.944, -3.567], [-2.029, -6.407, -0.843], [-4.776, -4.715, -0.914]],
  "species": ["Mn", "P", "P", "Zn"],
  "fractional_positions": [[0.750, 0.750, 0.750], [0.490, 0.490, 0.490], [0.010, 0.010, 0.010], [0.250, 0.250, 0.250]],
  "spacegroup": "R-3m"
}

{
  "formula": "Mn2ZnP",
  "functional": "PBE",
  "state": "relaxed",
  "cell": [[3.756, 0.000, 0.000], [0.000, 3.758, 0.000], [0.000, 0.000, 3.495]],
  "species": ["Mn", "Mn", "Zn", "P"],
  "fractional_positions": [[0.000, 0.000, 0.000], [0.500, 0.500, 0.000], [0.000, 0.500, 0.500], [0.500, 0.000, 0.500]],
  "spacegroup": "P4/mmm",
  "e_above_lowest_polymorph_mev_per_atom": 104
}

{
  "formula": "Mn2ZnP",
  "functional": "PBE",
  "state": "relaxed",
  "cell": [[-2.610, 1.726, 7.603], [-4.795, 0.484, 6.661], [-2.771, -0.952, 7.682]],
  "species": ["Mn", "Mn", "Zn", "P"],
  "fractional_positions": [[0.248, 0.248, 0.248], [0.993, 0.993, 0.993], [0.747, 0.747, 0.747], [0.512, 0.512, 0.512]],
  "spacegroup": "R3m",
  "e_above_lowest_polymorph_mev_per_atom": 217
}

{
  "formula": "MnZnP2",
  "functional": "PBE",
  "state": "relaxed",
  "cell": [[-1.902, 2.003, 0.315], [-0.524, -0.077, -2.679], [-5.164, -5.085, 1.156]],
  "species": ["Mn", "P", "P", "Zn"],
  "fractional_positions": [[0.500, 0.750, 0.750], [0.000, 0.250, 0.564], [0.000, 0.250, 0.936], [0.500, 0.250, 0.250]],
  "spacegroup": "Pmmm"
}

{
  "formula": "MnZn3P",
  "functional": "PBE",
  "state": "relaxed",
  "cell": [[4.682, 0.000, 0.000], [0.000, 4.682, 0.000], [0.000, 0.000, 4.682]],
  "species": ["Zn", "Zn", "Zn", "P", "Mn"],
  "fractional_positions": [[0.500, 0.000, 0.000], [0.000, 0.500, 0.000], [0.000, 0.000, 0.500], [0.000, 0.000, 0.000], [0.500, 0.500, 0.500]],
  "spacegroup": "Pm-3m",
  "e_above_lowest_polymorph_mev_per_atom": 0
}

{
  "formula": "MnZnP3",
  "functional": "PBE",
  "state": "relaxed",
  "cell": [[4.412, 0.000, 0.000], [0.000, 4.412, 0.000], [0.000, 0.000, 4.412]],
  "species": ["Mn", "P", "P", "P", "Zn"],
  "fractional_positions": [[0.000, 0.000, 0.000], [0.000, 0.500, 0.000], [0.500, 0.000, 0.000], [0.000, 0.000, 0.500], [0.500, 0.500, 0.500]],
  "spacegroup": "Pm-3m",
  "e_above_lowest_polymorph_mev_per_atom": 0
}

{
  "formula": "MnZnP2",
  "functional": "PBE",
  "state": "relaxed",
  "cell": [[-1.756, -1.173, -1.793], [1.469, -2.346, 0.096], [-4.088, -2.334, 5.529]],
  "species": ["P", "P", "Mn", "Zn"],
  "fractional_positions": [[0.500, 0.500, 0.256], [0.000, 0.000, 0.936], [0.500, 0.500, 0.778], [0.000, 0.000, 0.530]],
  "spacegroup": "P4mm"
}

{
  "formula": "Mn2ZnP",
  "functional": "PBE",
  "state": "relaxed",
  "cell": [[-0.250, -3.209, 0.469], [2.686, -0.146, 0.435], [1.088, 0.753, 5.732]],
  "species": ["P", "Zn", "Mn", "Mn"],
  "fractional_positions": [[0.500, 0.250, 0.250], [0.500, 0.750, 0.750], [0.000, 0.454, 0.470], [0.000, 0.046, 0.030]],
  "spacegroup": "P2/m",
  "e_above_lowest_polymorph_mev_per_atom": 42
}

DFT formation energy values (in eV per atom) by entry order: -0.08; -0.02; 0.09; -0.07; 0.64; 0.48; 0.17; -0.09.
V values (in A^3/atom) by entry order: 14.69; 12.34; 12.59; 13.93; 20.53; 17.18; 13.93; 12.30.
Total magnetization values (in μB/cell) by entry order: 1.85; 4.69; 1.39; 0.00; 4.61; 0.42; 0.85; 3.74.